A relaxed PrAg6 crystal, computed with PBE.

As for the crystal system: orthorhombic. Its energy relative to the elements is -128 meV/atom. For the total DFT energy (no corrections), the calculation gives -91.13 eV per cell.

It has space group Pnma (No. 62), with a = 8.953 Å, b = 5.750 Å, c = 11.319 Å, α = 90.00°, β = 90.00° and γ = 90.00°. The inequivalent atoms are Pr at (0.242, 0.250, 0.067), Ag at (0.063, 0.009, 0.308), Ag at (0.067, 0.750, 0.087), Ag at (0.105, 0.250, 0.520), Ag at (0.146, 0.750, 0.851) and Ag at (0.185, 0.250, 0.764).

A relaxed PrAg6 crystal, computed with PBE.

As for the crystal system: cubic. Its energy relative to the elements is 525 meV/atom. For the total DFT energy (no corrections), the calculation gives -36.43 eV per cell.

It has space group Im-3m (No. 229), with a = 7.349 Å, b = 7.349 Å, c = 7.349 Å, α = 90.00°, β = 90.00° and γ = 90.00°. The inequivalent atoms are Pr at (0.000, 0.000, 0.000) and Ag at (0.000, 0.250, 0.500).

Results for magnetization: 0.00 0.00 (in μB/atom, following the order of the records).